Version P
Below is an optimized crystal structure of PaTlHg2, with properties calculated at the PBE-GGA level.

**N(E_F)**: 7.1 states/eV/f.u.
**Space group**: No. 123
**Size of the total moment**: 0.311 μB/atom

The structure in POSCAR format:
```
PaTlHg2
1.0
4.7111 0.0000 0.0000
0.0000 4.6498 0.0000
0.0000 0.0000 4.6498
Pa Hg Tl
1 2 1
Direct
0.5000 0.0000 0.0000
0.0000 0.0000 0.5000
0.0000 0.5000 0.0000
0.5000 0.5000 0.5000
```

Version Q
Below is an optimized crystal structure of PaTlHg2, with properties calculated at the PBE-GGA level.

**N(E_F)**: 4.5 states/eV/f.u.
**Space group**: No. 166
**Size of the total moment**: 0.155 μB/atom

The structure in POSCAR format:
```
PaTlHg2
1.0
-1.5604 -0.9182 2.6936
0.8222 -2.7639 1.4894
7.8437 4.8145 8.1402
Hg Tl Pa
2 1 1
Direct
0.0867 0.0867 0.7400
0.9133 0.9133 0.2600
0.5000 0.5000 0.5000
0.0000 0.0000 0.0000
```

Short version: version Q is the least stable of them.

Version P
Below is an optimized crystal structure of PaTlHg2, with properties calculated at the PBE-GGA level.

**N(E_F)**: 5.8 states/eV/f.u.
**Space group**: No. 123
**Size of the total moment**: 0.354 μB/atom

The structure in POSCAR format:
```
PaTlHg2
1.0
3.3381 0.0000 0.0000
0.0000 3.3381 0.0000
0.0000 0.0000 9.3281
Hg Pa Tl
2 1 1
Direct
0.0000 0.0000 0.2587
0.0000 0.0000 0.7413
0.5000 0.5000 0.5000
0.5000 0.5000 0.0000
```

Version Q
Below is an optimized crystal structure of PaTlHg2, with properties calculated at the PBE-GGA level.

**N(E_F)**: 4.4 states/eV/f.u.
**Space group**: No. 225
**Size of the total moment**: 0.077 μB/atom

The structure in POSCAR format:
```
PaTlHg2
1.0
5.2046 0.0000 0.0000
2.6023 4.5073 0.0000
2.6023 1.5024 4.2496
Hg Pa Tl
2 1 1
Direct
0.7500 0.7500 0.7500
0.2500 0.2500 0.2500
0.0000 0.0000 0.0000
0.5000 0.5000 0.5000
```

Short version: version Q is the least stable of them.